This record from Alexandria via LeMat-Bulk describes crystalline Li3N at its relaxed geometry. The functional is GGA-PBEsol.

Cell: 3.5192 3.5192 6.2592 Å, 90.00 90.00 120.00°
Space group P6_3/mmc (No. 194)
Unique sites:
Li: 0.0000 0.0000 0.2500 [2 per cell]
Li: 0.3333 0.6667 0.0767 [4 per cell]
N: 0.3333 0.6667 0.7500 [2 per cell]

Calculated values
The value obtained for the total energy is -4.03 eV per atom. For the volume, the calculation gives 67 Å³ per cell. The formation energy (no corrections) comes out at -0.42 eV per atom.


This record from Alexandria via LeMat-Bulk describes crystalline ZrBe2Pb at its relaxed geometry. The functional is GGA-PBEsol.

Cell: 3.2941 3.2941 6.1940 Å, 90.00 90.00 90.00°
Space group P4/mmm (No. 123)
Unique sites:
Zr: 0.0000 0.0000 0.0000 [1 per cell]
Be: 0.5000 0.5000 0.2363 [2 per cell]
Pb: 0.0000 0.0000 0.5000 [1 per cell]

Calculated values
The calculation puts the density of states at the Fermi level at 2.4 states/eV/f.u. As for the formation energy: 0.345 eV per atom. The value obtained for the total energy is -4.93 eV per atom. For the volume, the calculation gives 67 Å³ per cell.


This record from Alexandria via LeMat-Bulk describes crystalline FePtC3 at its relaxed geometry. The functional is GGA-PBEsol.

Cell: 3.6905 3.6905 3.6905 Å, 90.00 90.00 90.00°
Space group Pm-3m (No. 221)
Unique sites:
Fe: 0.0000 0.0000 0.0000 [1 per cell]
Pt: 0.5000 0.5000 0.5000 [1 per cell]
C: 0.0000 0.0000 0.5000 [3 per cell]

Calculated values
The calculation puts the density of states at the Fermi level at 2.3 states/eV/f.u. As for the formation energy: 1.941 eV per atom. The value obtained for the total energy is -7.03 eV per atom. For the volume, the calculation gives 50 Å³ per cell.


This record from Alexandria via LeMat-Bulk describes crystalline Li2NiRu at its relaxed geometry. The functional is GGA-PBEsol.

Cell: 4.9875 8.7379 2.4621 Å, 90.00 116.61 90.00°
Space group C2/m (No. 12)
Unique sites:
Li: 0.2500 0.2500 0.0000 [4 per cell]
Ni: 0.0000 0.0000 0.5000 [2 per cell]
Ru: 0.0000 0.5000 0.5000 [2 per cell]

Calculated values
The calculation puts the density of states at the Fermi level at 3.1 states/eV/f.u. As for the formation energy: 0.111 eV per atom. The calculation puts the energy above the lowest structure with this stoichiometry at 19 meV per atom. The value obtained for the total energy is -4.96 eV per atom. For the volume, the calculation gives 96 Å³ per cell.


This record from Alexandria via LeMat-Bulk describes crystalline BaYCuTe3 at its relaxed geometry. The functional is GGA-PBEsol.

Cell: 4.3653 14.6722 11.2427 Å, 90.00 90.00 90.00°
Space group Cmcm (No. 63)
Unique sites:
Ba: 0.0000 0.2502 0.2500 [4 per cell]
Y: 0.0000 0.0000 0.0000 [4 per cell]
Cu: 0.0000 0.4670 0.7500 [4 per cell]
Te: 0.0000 0.0697 0.7500 [4 per cell]
Te: 0.0000 0.3618 0.5605 [8 per cell]

Calculated values
The value obtained for the total energy is -5.23 eV per atom. For the volume, the calculation gives 720 Å³ per cell. The formation energy (no corrections) comes out at -1.24 eV per atom.


This record from Alexandria via LeMat-Bulk describes crystalline AsIr2Pb at its relaxed geometry. The functional is GGA-PBEsol.

Cell: 3.0849 5.2351 8.7903 Å, 90.00 90.00 90.00°
Space group Immm (No. 71)
Unique sites:
As: 0.0000 0.0000 0.0000 [2 per cell]
Ir: 0.0000 0.5000 0.2850 [4 per cell]
Pb: 0.0000 0.0000 0.5000 [2 per cell]

Calculated values
The calculation puts the density of states at the Fermi level at 3.8 states/eV/f.u. As for the formation energy: 0.575 eV per atom. The calculation puts the energy above the lowest structure with this stoichiometry at 338 meV per atom. The value obtained for the total energy is -6.61 eV per atom. For the volume, the calculation gives 142 Å³ per cell.